Computed, not measured: NaTiIO5 after structural relaxation at the PBE-GGA level of DFT.

Lattice parameters (Å, degrees): 5.7269 5.7269 7.9218 108.17 108.17 97.93
Element x y z (fractional)
O 0.2856 0.8425 0.5373
O 0.3585 0.2523 0.1284
O 0.6415 0.7477 0.8716
O 0.2523 0.3585 0.6284
O 0.9988 0.0012 0.2500
O 0.7477 0.6415 0.3716
O 0.0012 0.9988 0.7500
O 0.1575 0.7144 0.9627
O 0.7144 0.1575 0.4627
O 0.8425 0.2856 0.0373
Na 0.6835 0.3165 0.7500
Na 0.3165 0.6835 0.2500
Ti 0.0000 0.0000 0.0000
Ti 0.0000 0.0000 0.5000
I 0.2913 0.7087 0.7500
I 0.7087 0.2913 0.2500

Calculated values
* crystal system: monoclinic
* raw formation energy: -1.509 eV per atom